{
  "formula": "ZrAlCo2Si",
  "functional": "PBE",
  "state": "relaxed",
  "e_form_raw_kj_per_mol_atoms": -37.14,
  "cell": [[2.033, -5.925, 0.000], [2.033, 5.925, 0.000], [0.000, 0.000, 6.078]],
  "species": ["Zr", "Zr", "Al", "Al", "Co", "Co", "Co", "Co", "Si", "Si"],
  "frac_coords": [[0.120, 0.880, 0.750], [0.880, 0.120, 0.250], [0.157, 0.843, 0.250], [0.843, 0.157, 0.750], [0.313, 0.687, 0.523], [0.313, 0.687, 0.977], [0.687, 0.313, 0.023], [0.687, 0.313, 0.477], [0.500, 0.500, 0.000], [0.500, 0.500, 0.500]]
}